Material: TlPdNO
Method: DFT, PBE-GGA
State: optimized geometry

```
data_TlPdNO
_chemical_formula_sum 'Tl2 Pd2 N2 O2'
_cell_length_a 4.138
_cell_length_b 4.138
_cell_length_c 7.418
_cell_angle_alpha 90.00
_cell_angle_beta 90.00
_cell_angle_gamma 90.00
_space_group_name_H-M_alt 'P 4/n m m'
_space_group_IT_number 129
loop_
_space_group_symop_operation_xyz
'x,y,z'
'-x,-y,-z'
'-y+1/2,x,z'
'y+1/2,-x,-z'
'-x+1/2,-y+1/2,z'
'x+1/2,y+1/2,-z'
'y,-x+1/2,z'
'-y,x+1/2,-z'
'x+1/2,-y,-z'
'-x+1/2,y,z'
'-y,-x,-z'
'y,x,z'
'-x,y+1/2,-z'
'x,-y+1/2,z'
'y+1/2,x+1/2,-z'
'-y+1/2,-x+1/2,z'
loop_
_atom_site_label
_atom_site_fract_x
_atom_site_fract_y
_atom_site_fract_z
Tl1 0.250 0.250 0.137
Pd1 0.250 0.750 0.500
N1 0.250 0.250 0.441
O1 0.250 0.750 0.000
```

Output
- Uncorrected energy: -4.955 eV per atom
- E above lowest polymorph: 5 meV/atom